CuOsPb2 | GGA-PBE | relaxed

Cell: 4.8963 4.8963 4.8963 Å, 60.00 60.00 60.00°
Atoms (fractional coordinates):
Cu 0.0000 0.0000 0.0000
Os 0.7500 0.7500 0.7500
Pb 0.2500 0.2500 0.2500
Pb 0.5000 0.5000 0.5000

Summary:
Uncorrected energy ... -4.69 eV per atom
Total magnetic moment ... 0.0 μB/cell
Calculated density ... 13.367 g/cm³